1.
Below is crystalline PrHoTlRh at its relaxed geometry, with properties calculated at the PBE level.

Computed properties:
Crystal system: tetragonal
Total moment: 0.00 Bohr magnetons per cell
Space-group type: P4mm (99)
Density: 10.164 g/cm³
Energy of formation: -557 meV/atom
E above lowest polymorph: 0.000 eV/atom

Cell: 3.5377 3.5377 8.0038 Å, 90.00 90.00 90.00°
With the nearest neighbours (Å) after each atom.
Atoms (fractional coordinates):
Pr 0.5000 0.5000 0.7856  4 Rh 3.13, 1 Ho 3.39, 4 Tl 3.48
Tl 0.0000 0.0000 0.0875  4 Ho 3.33, 4 Pr 3.48, 4 Tl 3.54, 1 Rh 3.70
Ho 0.5000 0.5000 0.3620  4 Rh 2.92
Rh 0.0000 0.0000 0.5496  4 Ho 2.92, 4 Pr 3.13

---

2.
Below is crystalline CdSN2Cl at its relaxed geometry, with properties calculated at the PBE level.

Computed properties:
Crystal system: tetragonal
Total moment: 4.44 Bohr magnetons per cell
Space-group type: P4/mmm (123)
Density: 3.323 g/cm³
Uncorrected formation energy: 9.397 eV per formula unit
E above lowest polymorph: 0.000 eV/atom

Cell: 4.2939 4.2939 5.6359 Å, 90.00 90.00 90.00°
With the nearest neighbours (Å) after each atom.
Atoms (fractional coordinates):
N 0.5000 0.0000 0.0000  2 Cd 2.15
Cl 0.5000 0.5000 0.5000  4 S 3.04
S 0.0000 0.0000 0.5000  2 Cd 2.82, 4 Cl 3.04
Cd 0.0000 0.0000 0.0000  4 N 2.15
N 0.0000 0.5000 0.0000  2 Cd 2.15

---

3.
Below is crystalline LaTb2NdTl2 at its relaxed geometry, with properties calculated at the PBE level.

Computed properties:
Crystal system: orthorhombic
Total moment: 0.00 Bohr magnetons per cell
Space-group type: Pmc2_1 (26)
Density: 9.084 g/cm³
Energy of formation: -274 meV/atom

Cell: 5.1984 6.8829 10.3175 Å, 90.00 90.00 90.00°
With the nearest neighbours (Å) after each atom.
Atoms (fractional coordinates):
Tl 0.5000 0.2181 0.3548  3 Tb 3.25-3.42, 2 Nd 3.28-3.47, 4 La 3.36-3.62
Nd 0.5000 0.6893 0.3093  5 Tl 3.28-3.67, 2 La 3.49
Nd 0.5000 0.1893 0.6907  5 Tl 3.28-3.67, 2 La 3.49
Tb 0.5000 0.0555 0.0420  5 Tl 3.25-3.54, 4 Tb 3.54-3.55
Tl 0.0000 0.2997 0.8753  6 Tb 3.18-3.54, 2 Nd 3.31, 1 La 3.56
Tl 0.0000 0.7997 0.1247  6 Tb 3.18-3.54, 2 Nd 3.31, 1 La 3.56
La 0.0000 0.4488 0.5451  5 Tl 3.36-3.62, 2 Nd 3.49, 2 La 3.57
Tb 0.5000 0.5555 0.9580  5 Tl 3.25-3.54, 4 Tb 3.54-3.55
Tb 0.0000 0.3342 0.1828  4 Tl 3.18-3.26, 2 Tb 3.54
La 0.0000 0.9488 0.4549  5 Tl 3.36-3.62, 2 Nd 3.49, 2 La 3.57
Tb 0.0000 0.8342 0.8172  4 Tl 3.18-3.26, 2 Tb 3.54
Tl 0.5000 0.7181 0.6452  3 Tb 3.25-3.42, 2 Nd 3.28-3.47, 4 La 3.36-3.62

---

4.
Below is crystalline SmTh2Sc at its relaxed geometry, with properties calculated at the PBE level.

Computed properties:
Crystal system: tetragonal
Total moment: 0.00 Bohr magnetons per cell
Space-group type: P4/mmm (123)
Density: 8.917 g/cm³
Energy of formation: 67 meV/atom
E above lowest polymorph: 0.020 eV/atom

Cell: 4.9886 4.9613 4.9613 Å, 90.00 90.00 90.00°
With the nearest neighbours (Å) after each atom.
Atoms (fractional coordinates):
Th 0.0000 0.0000 0.5000  4 Th 3.51, 4 Sc 3.52, 4 Sm 3.52
Sm 0.5000 0.5000 0.5000  4 Sc 3.51, 8 Th 3.52
Th 0.0000 0.5000 0.0000  4 Th 3.51, 4 Sc 3.52, 4 Sm 3.52
Sc 0.5000 0.0000 0.0000  4 Sm 3.51, 8 Th 3.52

---

5.
Below is crystalline ZrTc2F at its relaxed geometry, with properties calculated at the PBE level.

Computed properties:
Crystal system: tetragonal
Total moment: 0.00 Bohr magnetons per cell
Space-group type: I-42d (122)
Density: 7.955 g/cm³
Uncorrected formation energy: -0.255 eV per formula unit
E above lowest polymorph: 0.000 eV/atom

Cell: 7.5468 7.5468 5.7893 Å, 49.32 49.32 90.00°
With the nearest neighbours (Å) after each atom.
Atoms (fractional coordinates):
Tc 0.5563 0.1250 0.2500  2 F 2.40, 2 Tc 2.47
Tc 0.8750 0.8063 0.7500  2 F 2.40, 2 Tc 2.47
Tc 0.3750 0.4437 0.7500  2 F 2.40, 2 Tc 2.47
Zr 0.7500 0.2500 0.5000  2 F 2.24
F 0.5000 0.5000 0.0000  2 Zr 2.24, 4 Tc 2.40
F 0.2500 0.7500 0.5000  2 Zr 2.24, 4 Tc 2.40
Tc 0.1937 0.6250 0.2500  2 F 2.40, 2 Tc 2.47
Zr 0.0000 0.0000 0.0000  2 F 2.24

---

6.
Below is crystalline Ac7Al2Hg2 at its relaxed geometry, with properties calculated at the PBE level.

Computed properties:
Crystal system: orthorhombic
Total moment: 0.00 Bohr magnetons per cell
Space-group type: Cmmm (65)
Density: 8.053 g/cm³
Energy of formation: -31 meV/atom

Cell: 7.3528 8.2937 7.3528 Å, 90.01 109.94 89.99°
With the nearest neighbours (Å) after each atom.
Atoms (fractional coordinates):
Ac 0.0001 0.7091 0.5002  2 Hg 3.25, 1 Ac 3.47, 2 Al 3.56
Ac 0.5002 0.2909 0.0001  2 Hg 3.25, 1 Ac 3.47, 2 Al 3.56
Al 0.1579 0.5000 0.1579  1 Al 2.66
Ac 0.5000 0.7283 0.5000  2 Hg 3.37, 2 Al 3.45, 4 Ac 3.68
Ac 0.9999 0.2909 0.4998  2 Hg 3.25, 1 Ac 3.47, 2 Al 3.56
Hg 0.7077 0.9999 0.2923  7 Ac 3.25-3.52
Ac 0.4998 0.7091 0.9999  2 Hg 3.25, 1 Ac 3.47, 2 Al 3.56
Hg 0.2923 0.0001 0.7077  7 Ac 3.25-3.52
Ac 0.5000 0.2717 0.5000  2 Hg 3.37, 2 Al 3.45, 4 Ac 3.68
Al 0.8421 0.5000 0.8421  1 Al 2.66
Ac 0.0000 0.0000 0.0000  2 Hg 3.52

---

7.
Below is crystalline ScHgRh2 at its relaxed geometry, with properties calculated at the PBE level.

Computed properties:
Crystal system: tetragonal
Total moment: 0.46 Bohr magnetons per cell
Space-group type: P4mm (99)
Density: 10.736 g/cm³
Energy of formation: -298 meV/atom

Cell: 3.4954 3.4954 5.7140 Å, 90.00 90.00 90.00°
With the nearest neighbours (Å) after each atom.
Atoms (fractional coordinates):
Hg 0.5000 0.5000 0.7656  6 Rh 2.82-2.90, 4 Sc 3.01
Rh 0.5000 0.5000 0.2586  4 Sc 2.74, 2 Hg 2.82-2.90, 4 Rh 2.85
Rh 0.0000 0.0000 0.0113  1 Sc 2.59, 4 Hg 2.84, 4 Rh 2.85
Sc 0.0000 0.0000 0.4645  5 Rh 2.59-2.74

---

8.
Below is crystalline YNpPa2C4 at its relaxed geometry, with properties calculated at the PBE level.

Computed properties:
Crystal system: monoclinic
Total moment: 3.15 Bohr magnetons per cell
Space-group type: P2/m (10)
Density: 10.642 g/cm³
Energy of formation: -253 meV/atom

Cell: 3.6017 6.1681 6.2261 Å, 70.58 90.00 90.00°
With the nearest neighbours (Å) after each atom.
Atoms (fractional coordinates):
Pa 0.0000 0.0000 0.0000  6 C 2.47-2.48
C 0.0000 0.2399 0.2496  3 Pa 2.48-2.52, 2 Np 2.56, 1 Y 2.58
Y 0.0000 0.5000 0.5000  6 C 2.58-2.61
Pa 0.5000 0.0000 0.5000  6 C 2.52-2.58
C 0.5000 0.7589 0.2318  3 Pa 2.47-2.58, 1 Np 2.48, 2 Y 2.61
C 0.0000 0.7601 0.7504  3 Pa 2.48-2.52, 2 Np 2.56, 1 Y 2.58
C 0.5000 0.2411 0.7682  3 Pa 2.47-2.58, 1 Np 2.48, 2 Y 2.61
Np 0.5000 0.5000 0.0000  6 C 2.48-2.56

---

9.
Below is crystalline TbNd5Ga6 at its relaxed geometry, with properties calculated at the PBE level.

Computed properties:
Crystal system: monoclinic
Total moment: 0.00 Bohr magnetons per cell
Space-group type: C2/m (12)
Density: 7.228 g/cm³
Energy of formation: -558 meV/atom

Cell: 5.1997 9.0044 9.0144 Å, 60.04 73.21 54.67°
With the nearest neighbours (Å) after each atom.
Atoms (fractional coordinates):
Nd 0.5000 0.5000 0.0000  8 Ga 3.18-3.24
Ga 0.2440 0.9200 0.6723  1 Tb 3.12, 7 Nd 3.16-3.23
Ga 0.2440 0.5924 0.3277  1 Tb 3.12, 7 Nd 3.16-3.23
Ga 0.7560 0.0800 0.3277  1 Tb 3.12, 7 Nd 3.16-3.23
Nd 0.5000 0.1709 0.6582  8 Ga 3.16-3.19
Nd 0.0000 0.6644 0.6713  8 Ga 3.21-3.23
Tb 0.0000 0.0000 0.0000  8 Ga 3.12-3.13
Nd 0.0000 0.3356 0.3287  8 Ga 3.21-3.23
Ga 0.2617 0.2381 0.0000  2 Tb 3.13, 6 Nd 3.19-3.24, 1 Ga 3.50
Ga 0.7383 0.7619 0.0000  2 Tb 3.13, 6 Nd 3.19-3.24, 1 Ga 3.50
Nd 0.5000 0.8291 0.3418  8 Ga 3.16-3.19
Ga 0.7560 0.4076 0.6723  1 Tb 3.12, 7 Nd 3.16-3.23

---

10.
Below is crystalline Th3TcHg at its relaxed geometry, with properties calculated at the PBE level.

Computed properties:
Crystal system: orthorhombic
Total moment: 0.00 Bohr magnetons per cell
Space-group type: Fmmm (69)
Density: 11.674 g/cm³
Energy of formation: -174 meV/atom
E above lowest polymorph: 0.000 eV/atom

Cell: 6.1447 6.1447 8.9628 Å, 101.03 101.03 116.21°
With the nearest neighbours (Å) after each atom.
Atoms (fractional coordinates):
Th 0.2935 0.4430 0.7365  2 Tc 2.84
Hg 0.2831 0.7831 0.5000  1 Hg 2.82
Th 0.7065 0.5570 0.2635  2 Tc 2.84
Tc 0.2500 0.2500 0.0000  4 Th 2.84
Th 0.0569 0.2066 0.2635  2 Tc 2.84
Th 0.6910 0.1910 0.8820  4 Tc 3.23, 2 Hg 3.49, 2 Th 3.60
Hg 0.7169 0.2169 0.5000  1 Hg 2.82
Tc 0.7500 0.7500 0.0000  4 Th 2.84
Th 0.9431 0.7934 0.7365  2 Tc 2.84
Th 0.3090 0.8090 0.1180  4 Tc 3.23, 2 Hg 3.49, 2 Th 3.60

---

11.
Below is crystalline LaSc2Ta at its relaxed geometry, with properties calculated at the PBE level.

Computed properties:
Crystal system: trigonal
Total moment: 0.25 Bohr magnetons per cell
Space-group type: R-3m (166)
Density: 6.927 g/cm³
Energy of formation: 239 meV/atom

Cell: 11.0417 11.0417 11.0417 Å, 16.81 16.81 16.81°
With the nearest neighbours (Å) after each atom.
Atoms (fractional coordinates):
La 0.7500 0.7500 0.7500  6 La 3.23, 6 Sc 3.60
Sc 0.5110 0.5110 0.5110  3 Ta 3.01, 6 Sc 3.23
Ta 0.2500 0.2500 0.2500  6 Sc 3.01, 6 Ta 3.23
Sc 0.9890 0.9890 0.9890  3 Ta 3.01, 6 Sc 3.23